1.
The following is a DFT calculation (GGA-PBE) of a geometry-optimized Nd3Dy6Tl structure.

Cell and atoms, written as POSCAR:
```
Nd3Dy6Tl
1.0
-3.924 3.660 -3.108
-8.587 -5.508 4.355
4.368 8.903 4.971
Nd Dy Tl
6 12 2
Cartesian
-2.821 5.619 -1.252 Nd
-0.999 3.427 4.536 Nd
-3.868 0.441 0.159 Nd
-5.666 2.248 2.854 Nd
-6.688 2.709 6.390 Nd
-5.640 7.887 4.979 Nd
-0.004 11.401 2.083 Dy
-2.137 0.652 2.954 Dy
-2.964 3.745 1.454 Dy
-2.149 6.910 6.060 Dy
-9.313 2.953 4.258 Dy
-1.826 7.177 2.797 Dy
-9.452 -3.122 3.096 Dy
0.092 5.107 1.106 Dy
-7.072 1.150 -0.695 Dy
-3.543 1.783 6.061 Dy
-4.369 4.876 4.561 Dy
-5.481 -0.902 4.084 Dy
0.710 6.107 4.334 Tl
-8.136 0.279 2.453 Tl
```

## Properties
spin magnetization = 0.00 μB/f.u.
relative energy among the computed polymorphs = 11 meV per atom
formation energy from the elements = 0.301 eV/f.u.
mass density = 8257 kg/m³


2.
The following is a DFT calculation (GGA-PBE) of a geometry-optimized ReAgTe2N structure.

Cell and atoms, written as POSCAR:
```
ReAgTe2N
1.0
-4.591 1.982 -2.153
-2.468 -4.774 0.867
-1.078 1.171 3.377
Ag Re N Te
1 1 1 2
Cartesian
-4.068 -0.811 1.046 Ag
0.000 0.000 0.000 Re
-0.539 0.585 1.689 N
-2.295 0.991 -1.076 Te
-1.234 -2.387 0.433 Te
```

## Properties
spin magnetization = 0.00 μB/f.u.
relative energy among the computed polymorphs = 0 meV per atom
mass density = 8454 kg/m³
energy relative to the elements, uncorrected = 36.8 kJ per mole of atoms


3.
The following is a DFT calculation (GGA-PBE) of a geometry-optimized Mn2PPb structure.

Cell and atoms, written as POSCAR:
```
Mn2PPb
1.0
-3.377 3.580 -0.635
-1.128 -0.788 -4.768
-0.326 -2.209 4.432
P Mn Pb
1 2 1
Cartesian
-1.853 -0.801 -1.519 P
-1.996 1.237 -2.393 Mn
-0.257 0.159 -0.308 Mn
-2.978 1.383 0.548 Pb
```

## Properties
spin magnetization = 4.94 μB/f.u.
formation energy from the elements = 0.994 eV/f.u.
mass density = 8328 kg/m³


4.
The following is a DFT calculation (GGA-PBE) of a geometry-optimized AgIr3Pb structure.

Cell and atoms, written as POSCAR:
```
AgIr3Pb
1.0
4.844 0.000 0.000
0.000 4.844 0.000
0.000 0.000 4.844
Ir Ag Pb
3 1 1
Cartesian
0.000 2.422 0.000 Ir
2.422 0.000 0.000 Ir
0.000 0.000 2.422 Ir
0.000 0.000 0.000 Ag
2.422 2.422 2.422 Pb
```

## Properties
spin magnetization = 0.00 μB/f.u.
relative energy among the computed polymorphs = 0 meV per atom
formation energy from the elements = 10.000 eV/f.u.
mass density = 13030 kg/m³


5.
The following is a DFT calculation (GGA-PBE) of a geometry-optimized Sm2HI5 structure.

Cell and atoms, written as POSCAR:
```
Sm2HI5
1.0
-1.677 -2.130 2.755
7.260 1.866 3.151
-8.266 17.634 8.604
I Sm H
10 4 2
Cartesian
3.980 1.785 3.803 I
-1.143 10.626 10.233 I
-3.152 14.914 12.325 I
-1.540 6.743 4.277 I
0.470 2.456 2.185 I
-6.663 15.585 10.707 I
3.155 5.060 5.833 I
-5.838 12.310 8.676 I
0.988 8.167 6.917 I
-3.671 9.203 7.593 I
-3.920 15.155 9.333 Sm
1.237 2.214 5.176 Sm
-2.462 12.046 7.816 Sm
-0.221 5.324 6.694 Sm
0.862 4.774 4.216 H
-3.545 12.596 10.293 H
```

## Properties
spin magnetization = 0.00 μB/f.u.
calculated total energy = -3.56 eV/atom
mass density = 4784 kg/m³


6.
The following is a DFT calculation (GGA-PBE) of a geometry-optimized Li6AgAu structure.

Cell and atoms, written as POSCAR:
```
Li6AgAu
1.0
4.578 0.000 0.000
0.000 5.740 -0.187
0.000 -2.710 5.064
Li Ag Au
6 1 1
Cartesian
0.000 0.859 4.455 Li
0.000 -0.583 2.134 Li
2.289 5.076 0.225 Li
2.289 3.685 2.827 Li
2.289 2.128 0.321 Li
0.000 2.150 2.044 Li
0.000 -2.007 4.628 Ag
2.289 0.812 2.875 Au
```

## Properties
spin magnetization = 0.00 μB/f.u.
relative energy among the computed polymorphs = 0 meV per atom
formation energy from the elements = -2.111 eV/f.u.
mass density = 4400 kg/m³


7.
The following is a DFT calculation (GGA-PBE) of a geometry-optimized Tm4CuSn structure.

Cell and atoms, written as POSCAR:
```
Tm4CuSn
1.0
6.797 0.000 -0.174
0.000 7.119 0.000
-0.279 0.000 7.178
Tm Cu Sn
8 2 2
Cartesian
3.959 1.034 5.798 Tm
4.433 4.743 4.511 Tm
5.485 1.184 2.406 Tm
2.086 2.375 2.493 Tm
5.958 4.594 1.119 Tm
2.559 6.084 1.206 Tm
1.034 5.934 4.598 Tm
0.561 2.525 5.885 Tm
3.259 0.000 3.502 Cu
-0.139 3.559 3.589 Cu
0.000 0.000 0.000 Sn
3.399 3.559 -0.087 Sn
```

## Properties
spin magnetization = 0.00 μB/f.u.
formation energy from the elements = -0.710 eV/f.u.
mass density = 8213 kg/m³


8.
The following is a DFT calculation (GGA-PBE) of a geometry-optimized KTeBr2 structure.

Cell and atoms, written as POSCAR:
```
KTeBr2
1.0
-1.931 -1.295 4.320
4.811 0.212 0.941
-0.571 6.054 1.559
K Br Te
1 2 1
Cartesian
-0.214 2.270 0.585 K
1.226 1.728 3.215 Br
-0.500 5.298 1.364 Br
0.940 4.755 3.995 Te
```

## Properties
spin magnetization = 0.00 μB/f.u.
relative energy among the computed polymorphs = 93 meV per atom
mass density = 3686 kg/m³
energy relative to the elements, uncorrected = -67.0 kJ per mole of atoms


9.
The following is a DFT calculation (GGA-PBE) of a geometry-optimized SrSbBr structure.

Cell and atoms, written as POSCAR:
```
SrSbBr
1.0
8.549 0.008 -0.009
7.759 3.589 -0.008
0.790 0.174 3.576
Br Sb Sr
1 1 1
Cartesian
1.509 0.332 3.410 Br
5.498 1.212 2.486 Sb
10.881 2.400 1.240 Sr
```

## Properties
spin magnetization = 0.00 μB/f.u.
relative energy among the computed polymorphs = 397 meV per atom
mass density = 4387 kg/m³
energy relative to the elements, uncorrected = -96.9 kJ per mole of atoms


10.
The following is a DFT calculation (GGA-PBE) of a geometry-optimized TbPmPd2 structure.

Cell and atoms, written as POSCAR:
```
TbPmPd2
1.0
4.152 0.000 0.000
2.076 3.596 0.000
2.076 1.199 6.712
Pm Pd Tb
1 2 1
Cartesian
4.152 2.397 3.356 Pm
6.228 3.596 5.093 Pd
2.076 1.199 1.619 Pd
0.000 0.000 0.000 Tb
```

## Properties
spin magnetization = 0.00 μB/f.u.
relative energy among the computed polymorphs = 155 meV per atom
formation energy from the elements = -2.845 eV/f.u.
mass density = 8562 kg/m³


11.
The following is a DFT calculation (GGA-PBE) of a geometry-optimized Pm2ErAg structure.

Cell and atoms, written as POSCAR:
```
Pm2ErAg
1.0
-0.683 -3.404 -0.045
0.124 -1.835 2.945
-11.630 0.525 2.865
Er Pm Ag
1 2 1
Cartesian
-6.094 -2.357 2.882 Er
-3.496 -4.656 3.387 Pm
-8.692 -0.058 2.378 Pm
0.000 0.000 0.000 Ag
```

## Properties
spin magnetization = 0.00 μB/f.u.
relative energy among the computed polymorphs = 374 meV per atom
formation energy from the elements = 1.001 eV/f.u.
mass density = 7605 kg/m³


12.
The following is a DFT calculation (GGA-PBE) of a geometry-optimized Sr3In7Ga4 structure.

Cell and atoms, written as POSCAR:
```
Sr3In7Ga4
1.0
4.525 0.000 1.142
1.675 8.500 2.899
-0.017 -0.093 9.608
Sr Ga In
3 4 7
Cartesian
0.829 4.203 6.253 Sr
4.460 6.905 10.938 Sr
1.723 1.502 2.710 Sr
2.451 4.520 9.365 Ga
0.748 0.718 6.576 Ga
3.732 3.887 4.284 Ga
5.435 7.689 7.072 Ga
0.000 0.000 0.000 In
4.432 3.262 11.048 In
2.821 6.875 7.897 In
3.362 1.531 5.751 In
3.583 6.636 4.877 In
2.600 1.770 8.771 In
1.751 5.145 2.600 In
```

## Properties
spin magnetization = 0.00 μB/f.u.
formation energy from the elements = -4.597 eV/f.u.
mass density = 6026 kg/m³


Question: The lowest mass density belongs to which entry?
Answer: KTeBr2


Question: Among the records above, which one has the highest spin magnetization?
Answer: Mn2PPb